[1]
DFT (PBE) results for a relaxed CaTe2N crystal.

Values from the calculation:
total DFT energy (no corrections)	-13.42	eV per cell

abc: 9.4551 9.4551 9.4551
angles: 21.84 21.84 21.84
Closest atoms and distances in Å follow each position.
Element x y z (fractional)
Te 0.1123 0.1123 0.1123  3 N 2.56
N 0.5000 0.5000 0.5000  6 Te 2.56
Te 0.8877 0.8877 0.8877  3 N 2.56
Ca 0.0000 0.0000 0.0000  2 Te 3.11

[2]
DFT (PBE) results for a relaxed CaTe2N crystal.

Values from the calculation:
total DFT energy (no corrections)	-15.83	eV per cell

abc: 7.2935 7.2935 7.2935
angles: 40.22 40.22 40.22
Closest atoms and distances in Å follow each position.
Element x y z (fractional)
Ca 0.5000 0.5000 0.5000  6 Te 3.21
Te 0.0972 0.0972 0.0972  1 N 1.95
N 0.0000 0.0000 0.0000  2 Te 1.95
Te 0.9028 0.9028 0.9028  1 N 1.95

[3]
DFT (PBE) results for a relaxed CaTeN crystal.

Values from the calculation:
energy above the lowest structure with this stoichiometry	0.000	eV/atom

abc: 4.4323 8.9398 9.6278
angles: 103.39 90.00 90.00
Closest atoms and distances in Å follow each position.
Element x y z (fractional)
Ca 0.2530 0.0857 0.3417  1 N 2.83, 4 Te 3.14-3.16
N 0.0555 0.5135 0.0535  1 N 1.12
N 0.4445 0.0135 0.0535  1 N 1.12
Te 0.2497 0.6698 0.6804  5 Ca 3.14-3.17
Ca 0.2470 0.5857 0.3417  1 N 2.83, 4 Te 3.14-3.16
Ca 0.7470 0.9143 0.6583  1 N 2.83, 4 Te 3.14-3.16
N 0.9445 0.4865 0.9465  1 N 1.12
N 0.5555 0.9865 0.9465  1 N 1.12
Te 0.7503 0.3302 0.3196  5 Ca 3.14-3.17
Te 0.2503 0.1698 0.6804  5 Ca 3.14-3.17
Ca 0.7530 0.4143 0.6583  1 N 2.83, 4 Te 3.14-3.16
Te 0.7497 0.8302 0.3196  5 Ca 3.14-3.17

[4]
DFT (PBE) results for a relaxed CaTiTeN2 crystal.

Values from the calculation:
energy above the lowest structure with this stoichiometry	1.449	eV/atom

abc: 4.3957 4.3957 6.0634
angles: 90.00 90.00 90.00
Closest atoms and distances in Å follow each position.
Element x y z (fractional)
Ti 0.5000 0.5000 0.5000  4 Te 3.11
N 0.0000 0.5000 0.0000  2 Ca 2.20
Te 0.0000 0.0000 0.5000  2 Ca 3.03, 4 Ti 3.11
Ca 0.0000 0.0000 0.0000  4 N 2.20
N 0.5000 0.0000 0.0000  2 Ca 2.20

[5]
DFT (PBE) results for a relaxed CaTiTeN2 crystal.

Values from the calculation:
energy above the lowest structure with this stoichiometry	0.000	eV/atom

abc: 4.0861 4.0861 5.6893
angles: 90.00 90.00 90.00
Closest atoms and distances in Å follow each position.
Element x y z (fractional)
Ca 0.5000 0.5000 0.5000  4 Te 2.89
Ti 0.0000 0.0000 0.0000  4 N 2.04
Te 0.0000 0.0000 0.5000  2 Ti 2.84, 4 Ca 2.89
N 0.5000 0.0000 0.0000  2 Ti 2.04
N 0.0000 0.5000 0.0000  2 Ti 2.04

[6]
DFT (PBE) results for a relaxed CaTlTeN2 crystal.

Values from the calculation:
energy above the lowest structure with this stoichiometry	0.000	eV/atom

abc: 4.4919 4.4919 6.2167
angles: 90.00 90.00 90.00
Closest atoms and distances in Å follow each position.
Element x y z (fractional)
Ca 0.5000 0.5000 0.5000  4 Te 3.18
Te 0.0000 0.0000 0.5000  2 Tl 3.11, 4 Ca 3.18
N 0.0000 0.5000 0.0000  2 Tl 2.25
N 0.5000 0.0000 0.0000  2 Tl 2.25
Tl 0.0000 0.0000 0.0000  4 N 2.25

[7]
DFT (PBE) results for a relaxed CaTlTe2N crystal.

Values from the calculation:
energy above the lowest structure with this stoichiometry	0.095	eV/atom

abc: 6.0379 6.0379 4.4372
angles: 90.00 90.00 90.00
Closest atoms and distances in Å follow each position.
Element x y z (fractional)
Te 0.0000 0.5000 0.0000  2 Ca 3.02
Tl 0.5000 0.5000 0.5000  8 Te 3.75
N 0.0000 0.0000 0.5000  2 Ca 2.22
Ca 0.0000 0.0000 0.0000  2 N 2.22
Te 0.5000 0.0000 0.0000  2 Ca 3.02

[8]
DFT (PBE) results for a relaxed CaTlTeN2 crystal.

Values from the calculation:
energy above the lowest structure with this stoichiometry	0.004	eV/atom

abc: 4.7383 4.7383 6.3623
angles: 90.00 90.00 90.00
Closest atoms and distances in Å follow each position.
Element x y z (fractional)
N 0.0000 0.5000 0.0000  2 Ca 2.37
N 0.5000 0.0000 0.0000  2 Ca 2.37
Ca 0.0000 0.0000 0.0000  4 N 2.37
Te 0.0000 0.0000 0.5000  2 Ca 3.18, 4 Tl 3.35
Tl 0.5000 0.5000 0.5000  4 Te 3.35

[9]
DFT (PBE) results for a relaxed CaTlTe2N crystal.

Values from the calculation:
energy above the lowest structure with this stoichiometry	0.000	eV/atom

abc: 5.9170 5.9170 4.4080
angles: 90.00 90.00 90.00
Closest atoms and distances in Å follow each position.
Element x y z (fractional)
Tl 0.0000 0.0000 0.0000  2 N 2.20
Ca 0.5000 0.5000 0.5000  8 Te 3.69
Te 0.5000 0.0000 0.0000  2 Tl 2.96
Te 0.0000 0.5000 0.0000  2 Tl 2.96
N 0.0000 0.0000 0.5000  2 Tl 2.20

[10]
DFT (PBE) results for a relaxed Ca2UTe2N2 crystal.

Values from the calculation:
total DFT energy (no corrections)	-47.36	eV per cell

abc: 4.2775 4.2775 9.3957
angles: 103.16 103.16 90.00
Closest atoms and distances in Å follow each position.
Element x y z (fractional)
Ca 0.3906 0.3906 0.7812  4 N 2.89, 4 Te 3.21
Te 0.1704 0.1704 0.3408  1 U 3.03, 4 Ca 3.21
N 0.0000 0.5000 0.0000  2 U 2.14
U 0.0000 0.0000 0.0000  4 N 2.14
N 0.5000 0.0000 0.0000  2 U 2.14
Ca 0.6094 0.6094 0.2188  4 N 2.89, 4 Te 3.21
Te 0.8296 0.8296 0.6592  1 U 3.03, 4 Ca 3.21

[11]
DFT (PBE) results for a relaxed CaTeWN2 crystal.

Values from the calculation:
energy above the lowest structure with this stoichiometry	2.238	eV/atom

abc: 4.4058 4.4058 6.8110
angles: 90.00 90.00 90.00
Closest atoms and distances in Å follow each position.
Element x y z (fractional)
Te 0.0000 0.0000 0.5000  4 W 3.12, 2 Ca 3.41
N 0.5000 0.0000 0.0000  2 Ca 2.20
N 0.0000 0.5000 0.0000  2 Ca 2.20
Ca 0.0000 0.0000 0.0000  4 N 2.20
W 0.5000 0.5000 0.5000  4 Te 3.12

[12]
DFT (PBE) results for a relaxed CaTeWN2 crystal.

Values from the calculation:
energy above the lowest structure with this stoichiometry	0.000	eV/atom

abc: 4.0636 4.0636 5.6634
angles: 90.00 90.00 90.00
Closest atoms and distances in Å follow each position.
Element x y z (fractional)
Ca 0.5000 0.5000 0.5000  4 Te 2.87
N 0.5000 0.0000 0.0000  2 W 2.03
W 0.0000 0.0000 0.0000  4 N 2.03
Te 0.0000 0.0000 0.5000  2 W 2.83, 4 Ca 2.87
N 0.0000 0.5000 0.0000  2 W 2.03

One value per record, in order, for magnetization: 0.1158; 0.1967; 0.0000; 0.4002; 0.1171; 0.5805; 0.0006; 0.8291; 0.4088; 0.0093; 1.6531; 0.0091 μB per atom.
One value per record, in order, for calculated volume: 102.5; 145.8; 371.1; 117.2; 95.0; 125.4; 161.8; 142.8; 154.3; 162.8; 132.2; 93.5 Å³/cell.